--- 1 ---
Entry from Alexandria via LeMat-Bulk: Nb2Ga2Au after structural relaxation (PBE-GGA).

Structure (POSCAR):
```
Nb2Ga2Au
1.0
-2.884 0.031 0.662
-0.877 -2.262 -3.711
1.120 -4.411 5.084
Nb Ga Au
2 2 1
Direct
0.500 0.391 0.785
0.500 0.609 0.215
0.000 0.800 0.601
0.000 0.200 0.399
0.000 0.000 0.000
```

--- 2 ---
Entry from Alexandria via LeMat-Bulk: Nb2Ga2Au after structural relaxation (PBE-GGA).

Structure (POSCAR):
```
Nb2Ga2Au
1.0
-0.663 4.948 -4.504
-4.207 -3.828 -3.586
-2.902 1.374 1.937
Nb Au Ga
4 2 4
Direct
0.175 0.675 0.500
0.675 0.825 0.500
0.825 0.325 0.500
0.325 0.175 0.500
0.000 0.000 0.000
0.500 0.500 0.000
0.372 0.872 0.000
0.872 0.628 0.000
0.628 0.128 0.000
0.128 0.372 0.000
```

The winner here is 2, beating the second structure by 25 meV/atom.

--- 1 ---
Entry from Alexandria via LeMat-Bulk: Nb3GaAu after structural relaxation (PBE-GGA).

Structure (POSCAR):
```
Nb3GaAu
1.0
4.723 0.000 0.000
0.000 4.723 0.000
0.000 0.000 4.723
Nb Au Ga
3 1 1
Direct
0.000 0.500 0.000
0.000 0.000 0.500
0.500 0.000 0.000
0.500 0.500 0.500
0.000 0.000 0.000
```

--- 2 ---
Entry from Alexandria via LeMat-Bulk: Nb3GaAu after structural relaxation (PBE-GGA).

Structure (POSCAR):
```
Nb3GaAu
1.0
4.961 0.000 0.000
0.000 4.961 0.000
0.000 0.000 4.961
Nb Au Ga
3 1 1
Direct
0.000 0.500 0.000
0.000 0.000 0.500
0.500 0.000 0.000
0.000 0.000 0.000
0.500 0.500 0.500
```

The winner here is 1, beating the second structure by 470 meV/atom.

--- 1 ---
Entry from Alexandria via LeMat-Bulk: NdGa4Au6 after structural relaxation (PBE-GGA).

Structure (POSCAR):
```
NdGa4Au6
1.0
6.796 -0.007 -0.010
-3.148 6.023 0.010
-3.148 -2.205 5.605
Nd Ga Au
1 4 6
Direct
0.000 0.000 0.000
0.000 0.138 0.558
0.580 0.442 0.442
0.000 0.558 0.138
0.420 0.862 0.862
0.000 0.783 0.468
0.000 0.468 0.783
0.686 0.217 0.217
0.500 0.000 0.500
0.314 0.532 0.532
0.500 0.500 0.000
```

--- 2 ---
Entry from Alexandria via LeMat-Bulk: NdGa4Au6 after structural relaxation (PBE-GGA).

Structure (POSCAR):
```
NdGa4Au6
1.0
-3.852 0.889 1.691
-2.396 -6.868 -1.847
3.207 1.185 6.681
Nd Ga Au
1 4 6
Direct
0.000 0.333 0.667
0.500 0.532 0.470
0.500 0.938 0.468
0.000 0.000 0.000
0.500 0.530 0.062
0.500 0.138 0.862
0.500 0.138 0.276
0.000 0.800 0.595
0.000 0.405 0.205
0.000 0.795 0.200
0.500 0.724 0.862
```

The winner here is 2, beating the second structure by 82 meV/atom.